Entry from Alexandria via LeMat-Bulk: a relaxed HoNiI crystal (PBE-GGA).

Computed properties:
DOS(E_F)	0.41	states/eV/atom
raw formation energy	-0.787	eV per atom
total DFT energy (no corrections)	-4.756	eV per atom
calculated volume	26.65	A^3/atom

abc: 10.498 10.498 4.094
angles: 90.29 90.29 20.75
Fractional positions:
Ho: 0.071 0.071 0.252
Ho: 0.929 0.929 0.748
Ni: 0.469 0.469 0.249
Ni: 0.531 0.531 0.751
I: 0.340 0.339 0.245
I: 0.661 0.660 0.755


Entry from Alexandria via LeMat-Bulk: a relaxed Ho4NiI5 crystal (PBE-GGA).

Computed properties:
DOS(E_F)	0.35	states/eV/atom
raw formation energy	-1.045	eV per atom
total DFT energy (no corrections)	-4.229	eV per atom
calculated volume	33.87	A^3/atom

abc: 9.887 9.887 8.828
angles: 102.21 102.21 23.70
Fractional positions:
Ho: 0.000 0.000 0.198
Ho: 0.000 0.000 0.802
Ho: 0.361 0.361 0.928
Ho: 0.639 0.639 0.072
Ni: 0.500 0.500 0.000
I: 0.168 0.168 0.344
I: 0.177 0.177 0.830
I: 0.500 0.500 0.500
I: 0.823 0.823 0.170
I: 0.832 0.832 0.656